No. 1
DFT (PBEsol) results for an optimized crystal structure of Ba5Ca3.

Cell and atoms, written as extended XYZ:
```
16
Lattice="-3.370 -4.683 -4.597 -0.002 -10.335 4.610 -11.052 -0.234 2.422" Properties=species:S:1:pos:R:3 pbc="T T T"
Ba -6.369 -6.455 2.367
Ba -1.910 -7.595 3.219
Ba -8.054 -8.797 0.068
Ba -4.780 -10.844 2.712
Ba -12.513 -7.657 -0.784
Ba -9.644 -4.408 -0.277
Ba -5.961 -5.237 -2.134
Ba -11.851 -10.800 1.933
Ba -8.463 -10.015 4.569
Ba -2.572 -4.452 0.502
Ca -6.110 -2.513 1.120
Ca -10.460 -6.895 2.854
Ca -0.843 -1.171 -1.149
Ca -8.313 -12.739 1.315
Ca -3.964 -8.357 -0.419
Ca -2.528 -3.512 -3.448
```

Results
For the magnetization, the calculation gives 0.00 Bohr magnetons per cell. For the raw total energy, the calculation gives -2.062 eV per atom. For the offset from the most stable computed form, the calculation gives 0.000 eV per atom. Its energy of formation is 81 meV per atom.

---

No. 2
DFT (PBEsol) results for an optimized crystal structure of SrAs2.

Cell and atoms, written as extended XYZ:
```
3
Lattice="-3.831 1.266 -1.560 -1.708 -0.037 4.165 1.898 3.746 -1.621" Properties=species:S:1:pos:R:3 pbc="T T T"
As -2.250 1.800 1.526
As -1.391 3.174 -0.542
Sr 0.000 0.000 0.000
```

Results
For the magnetization, the calculation gives 0.00 Bohr magnetons per cell. For the raw total energy, the calculation gives -4.711 eV per atom. Its energy of formation is -694 meV per atom.

---

No. 3
DFT (PBEsol) results for an optimized crystal structure of U3O8.

Cell and atoms, written as extended XYZ:
```
11
Lattice="-0.389 -1.440 -3.845 6.622 0.878 -0.998 -2.300 -5.867 2.429" Properties=species:S:1:pos:R:3 pbc="T T T"
U 2.795 -3.226 0.926
U 2.339 0.310 -0.353
U -0.812 -2.073 0.858
O -1.020 -2.828 -1.050
O 2.184 -0.404 -2.281
O -1.713 -4.369 1.809
O 2.575 -3.917 -1.006
O 4.930 0.654 -0.743
O 0.674 -3.619 1.287
O 3.648 -1.370 0.144
O 1.104 -1.274 0.366
```

Results
For the magnetization, the calculation gives 2.02 Bohr magnetons per cell. For the raw total energy, the calculation gives -10.276 eV per atom. Its formation energy from raw total energies is -3142 meV per atom.

---

Number 1: ρ 3.17 g/cm3. Number 2: ρ 5.20 g/cm3. Number 3: ρ 8.58 g/cm3.